Compound: Na3GeO3
Source: Alexandria
Functional: PBE-GGA
Structure: optimized geometry

- distance to the lowest polymorph of the same formula (meV/atom) = 0
- final energy (eV/atom) = -4.9179
- total magnetization (μB per cell) = 0.0
- formation energy without anion corrections (eV per atom) = -1.568

Cell: 7.3109 9.8607 6.4342 Å, 90.00 119.05 90.00°
Last column: nearest neighbours and their distance in Å.
Space group C2/m (No. 12)
Unique sites:
Na1 0.0000 0.1828 0.0000 (multiplicity 4)  4 O 2.34-2.48
Na2 0.0000 0.3002 0.5000 (multiplicity 4)  6 O 2.51-2.74
Na3 0.1325 0.5000 0.9326 (multiplicity 4)  3 O 2.19-2.46
Ge1 0.1845 0.0000 0.5456 (multiplicity 4)  3 O 1.79-1.80
O1 0.1846 0.3562 0.2688 (multiplicity 8)  1 Ge 1.80
O2 0.2081 0.0000 0.2816 (multiplicity 4)  1 Ge 1.79

---

Compound: NaGeOsO5
Source: Alexandria
Functional: PBE-GGA
Structure: optimized geometry

- final energy (eV/atom) = -6.6377
- total magnetization (μB per cell) = 3.4
- formation energy without anion corrections (eV per atom) = -1.393

Cell: 6.8144 8.9867 7.2928 Å, 90.00 115.05 90.00°
Last column: nearest neighbours and their distance in Å.
Space group C2/c (No. 15)
Unique sites:
Na1 0.0000 0.1716 0.2500 (multiplicity 4)  7 O 2.47-2.60
Ge1 0.0000 0.1881 0.7500 (multiplicity 4)  4 O 1.78
Os1 0.0000 0.5000 0.0000 (multiplicity 4)  6 O 1.87-2.02
O1 0.0000 0.4534 0.2500 (multiplicity 4)  2 Os 1.87
O2 0.1041 0.2927 0.6032 (multiplicity 8)  1 Ge 1.78
O3 0.1936 0.0612 0.9170 (multiplicity 8)  1 Ge 1.78, 1 Os 1.99

---

Compound: NaGePO2
Source: Alexandria
Functional: PBE-GGA
Structure: optimized geometry

- distance to the lowest polymorph of the same formula (meV/atom) = 1079
- final energy (eV/atom) = -3.5254
- total magnetization (μB per cell) = 2.8
- formation energy without anion corrections (eV per atom) = 0.727

Cell: 4.0376 4.0376 5.2792 Å, 90.00 90.00 90.00°
Last column: nearest neighbours and their distance in Å.
Space group P4/mmm (No. 123)
Unique sites:
Na1 0.0000 0.0000 0.0000 (multiplicity 1)  4 O 2.02
Ge1 0.5000 0.5000 0.5000 (multiplicity 1)  4 P 2.85
P1 0.0000 0.0000 0.5000 (multiplicity 1)  2 Na 2.64, 4 Ge 2.85
O1 0.0000 0.5000 0.0000 (multiplicity 2)  2 Na 2.02

---

Compound: NaGeP2O
Source: Alexandria
Functional: PBE-GGA
Structure: optimized geometry

- distance to the lowest polymorph of the same formula (meV/atom) = 934
- final energy (eV/atom) = -3.2579
- total magnetization (μB per cell) = 1.8
- formation energy without anion corrections (eV per atom) = 1.085

Cell: 4.9305 4.9305 3.9927 Å, 90.00 90.00 90.00°
Last column: nearest neighbours and their distance in Å.
Space group P4/mmm (No. 123)
Unique sites:
Na1 0.0000 0.0000 0.0000 (multiplicity 1)  2 O 2.00
Ge1 0.5000 0.5000 0.5000 (multiplicity 1)  8 P 3.17, 4 O 3.49
P1 0.0000 0.5000 0.0000 (multiplicity 2)  2 Na 2.47
O1 0.0000 0.0000 0.5000 (multiplicity 1)  2 Na 2.00